Entry 1:
# Li4OsBr | the Alexandria database | PBE-GGA | optimized geometry
data_Li4OsBr
_cell_length_a 7.0977
_cell_length_b 7.0977
_cell_length_c 7.0977
_cell_angle_alpha 90.00
_cell_angle_beta 90.00
_cell_angle_gamma 90.00
_symmetry_space_group_name_H-M 'F -4 3 m'
_symmetry_Int_Tables_number 216
_symmetry_space_group_name_Hall 'F -4 2 3'
loop_
_atom_site_label
_atom_site_fract_x
_atom_site_fract_y
_atom_site_fract_z
Li1 0.1208 0.1208 0.1208
Os1 0.2500 0.2500 0.7500
Br1 0.0000 0.0000 0.5000
# Electronic total energy   -2.940 eV per atom
# M_tot   0.82 μB per formula unit
# Formation energy (no corrections)   486 meV/atom

Entry 2:
# LiOsBr | the Alexandria database | PBE-GGA | optimized geometry
data_LiOsBr
_cell_length_a 2.9332
_cell_length_b 5.3755
_cell_length_c 12.9273
_cell_angle_alpha 90.00
_cell_angle_beta 90.00
_cell_angle_gamma 90.00
_symmetry_space_group_name_H-M 'F m m 2'
_symmetry_Int_Tables_number 42
_symmetry_space_group_name_Hall 'F 2 -2'
loop_
_atom_site_label
_atom_site_fract_x
_atom_site_fract_y
_atom_site_fract_z
Li1 0.0000 0.0000 0.0000
Os1 0.0000 0.0000 0.6707
Br1 0.0000 0.0000 0.3330
# Electronic total energy   -4.202 eV per atom
# M_tot   0.00 μB per formula unit
# Distance to the lowest polymorph of the same formula   64 meV/atom
# Formation energy (no corrections)   736 meV/atom

Entry 3:
# LiOsBr4 | the Alexandria database | PBE-GGA | optimized geometry
data_LiOsBr4
_cell_length_a 9.0196
_cell_length_b 9.0196
_cell_length_c 9.0196
_cell_angle_alpha 90.00
_cell_angle_beta 90.00
_cell_angle_gamma 90.00
_symmetry_space_group_name_H-M 'F -4 3 m'
_symmetry_Int_Tables_number 216
_symmetry_space_group_name_Hall 'F -4 2 3'
loop_
_atom_site_label
_atom_site_fract_x
_atom_site_fract_y
_atom_site_fract_z
Li1 0.0000 0.0000 0.0000
Os1 0.2500 0.2500 0.7500
Br1 0.1249 0.1249 0.3751
# Electronic total energy   -2.091 eV per atom
# M_tot   6.33 μB per formula unit
# Formation energy (no corrections)   1215 meV/atom

Entry 4:
# LiPOsBr2 | the Alexandria database | PBE-GGA | optimized geometry
data_LiPOsBr2
_cell_length_a 5.4078
_cell_length_b 5.4078
_cell_length_c 4.4100
_cell_angle_alpha 90.00
_cell_angle_beta 90.00
_cell_angle_gamma 90.00
_symmetry_space_group_name_H-M 'P 4/m m m'
_symmetry_Int_Tables_number 123
_symmetry_space_group_name_Hall '-P 4 2'
loop_
_atom_site_label
_atom_site_fract_x
_atom_site_fract_y
_atom_site_fract_z
Li1 0.0000 0.0000 0.0000
P1 0.5000 0.5000 0.0000
Os1 0.5000 0.5000 0.5000
Br1 0.0000 0.5000 0.5000
# Electronic total energy   -4.320 eV per atom
# M_tot   0.08 μB per formula unit
# Formation energy (no corrections)   59 meV/atom

Entry 5:
# LiOsSe2Br | the Alexandria database | PBE-GGA | optimized geometry
data_LiOsSe2Br
_cell_length_a 4.7898
_cell_length_b 4.7898
_cell_length_c 5.6770
_cell_angle_alpha 90.00
_cell_angle_beta 90.00
_cell_angle_gamma 90.00
_symmetry_space_group_name_H-M 'P 4/m m m'
_symmetry_Int_Tables_number 123
_symmetry_space_group_name_Hall '-P 4 2'
loop_
_atom_site_label
_atom_site_fract_x
_atom_site_fract_y
_atom_site_fract_z
Li1 0.0000 0.0000 0.0000
Os1 0.5000 0.5000 0.5000
Se1 0.0000 0.5000 0.5000
Br1 0.5000 0.5000 0.0000
# Electronic total energy   -4.251 eV per atom
# M_tot   0.00 μB per formula unit
# Distance to the lowest polymorph of the same formula   0 meV/atom
# Formation energy (no corrections)   106 meV/atom

Entry 6:
# LiOs2SeBr | the Alexandria database | PBE-GGA | optimized geometry
data_LiOs2SeBr
_cell_length_a 4.6464
_cell_length_b 4.6464
_cell_length_c 4.4436
_cell_angle_alpha 90.00
_cell_angle_beta 90.00
_cell_angle_gamma 90.00
_symmetry_space_group_name_H-M 'P 4/m m m'
_symmetry_Int_Tables_number 123
_symmetry_space_group_name_Hall '-P 4 2'
loop_
_atom_site_label
_atom_site_fract_x
_atom_site_fract_y
_atom_site_fract_z
Li1 0.0000 0.0000 0.0000
Os1 0.0000 0.5000 0.5000
Se1 0.5000 0.5000 0.0000
Br1 0.0000 0.0000 0.5000
# Electronic total energy   -4.337 eV per atom
# M_tot   0.00 μB per formula unit
# Formation energy (no corrections)   1570 meV/atom

Entry 7:
# LiOsSeBr2 | the Alexandria database | PBE-GGA | optimized geometry
data_LiOsSeBr2
_cell_length_a 5.3852
_cell_length_b 5.3852
_cell_length_c 4.6294
_cell_angle_alpha 90.00
_cell_angle_beta 90.00
_cell_angle_gamma 90.00
_symmetry_space_group_name_H-M 'P 4/m m m'
_symmetry_Int_Tables_number 123
_symmetry_space_group_name_Hall '-P 4 2'
loop_
_atom_site_label
_atom_site_fract_x
_atom_site_fract_y
_atom_site_fract_z
Li1 0.0000 0.0000 0.0000
Os1 0.5000 0.5000 0.5000
Se1 0.5000 0.5000 0.0000
Br1 0.0000 0.5000 0.5000
# Electronic total energy   -3.970 eV per atom
# M_tot   0.00 μB per formula unit
# Distance to the lowest polymorph of the same formula   0 meV/atom
# Formation energy (no corrections)   25 meV/atom

Entry 8:
# LiSi2OsBr | the Alexandria database | PBE-GGA | optimized geometry
data_LiSi2OsBr
_cell_length_a 5.0661
_cell_length_b 5.0661
_cell_length_c 4.6299
_cell_angle_alpha 90.00
_cell_angle_beta 90.00
_cell_angle_gamma 90.00
_symmetry_space_group_name_H-M 'P 4/m m m'
_symmetry_Int_Tables_number 123
_symmetry_space_group_name_Hall '-P 4 2'
loop_
_atom_site_label
_atom_site_fract_x
_atom_site_fract_y
_atom_site_fract_z
Li1 0.0000 0.0000 0.0000
Si1 0.0000 0.5000 0.5000
Os1 0.5000 0.5000 0.0000
Br1 0.5000 0.5000 0.5000
# Electronic total energy   -3.446 eV per atom
# M_tot   0.00 μB per formula unit
# Formation energy (no corrections)   1686 meV/atom

Entry 9:
# Li2ZrOsBr | the Alexandria database | PBE-GGA | optimized geometry
data_Li2ZrOsBr
_cell_length_a 5.3976
_cell_length_b 5.3976
_cell_length_c 4.9901
_cell_angle_alpha 90.00
_cell_angle_beta 90.00
_cell_angle_gamma 90.00
_symmetry_space_group_name_H-M 'P 4/m m m'
_symmetry_Int_Tables_number 123
_symmetry_space_group_name_Hall '-P 4 2'
loop_
_atom_site_label
_atom_site_fract_x
_atom_site_fract_y
_atom_site_fract_z
Li1 0.0000 0.5000 0.0000
Zr1 0.0000 0.0000 0.0000
Os1 0.5000 0.5000 0.5000
Br1 0.0000 0.0000 0.5000
# Electronic total energy   -3.398 eV per atom
# M_tot   4.53 μB per formula unit
# Formation energy (no corrections)   1658 meV/atom

Entry 10:
# LiPBr | the Alexandria database | PBE-GGA | optimized geometry
data_LiPBr
_cell_length_a 2.8619
_cell_length_b 2.8619
_cell_length_c 16.0979
_cell_angle_alpha 90.00
_cell_angle_beta 90.00
_cell_angle_gamma 90.00
_symmetry_space_group_name_H-M 'I 4 m m'
_symmetry_Int_Tables_number 107
_symmetry_space_group_name_Hall 'I 4 -2'
loop_
_atom_site_label
_atom_site_fract_x
_atom_site_fract_y
_atom_site_fract_z
Li1 0.0000 0.0000 0.0000
P1 0.0000 0.0000 0.3823
Br1 0.0000 0.0000 0.6199
# Electronic total energy   -3.051 eV per atom
# M_tot   0.00 μB per formula unit
# Distance to the lowest polymorph of the same formula   755 meV/atom
# Formation energy (no corrections)   -53 meV/atom

Entry 11:
# LiPBr2 | the Alexandria database | PBE-GGA | optimized geometry
data_LiPBr2
_cell_length_a 3.3968
_cell_length_b 3.3968
_cell_length_c 8.8964
_cell_angle_alpha 90.00
_cell_angle_beta 90.00
_cell_angle_gamma 90.00
_symmetry_space_group_name_H-M 'P 4 m m'
_symmetry_Int_Tables_number 99
loop_
_symmetry_equiv_pos_as_xyz
'x,y,z'
'-y,x,z'
'-x,-y,z'
'y,-x,z'
'-x,y,z'
'y,x,z'
'x,-y,z'
'-y,-x,z'
loop_
_atom_site_label
_atom_site_fract_x
_atom_site_fract_y
_atom_site_fract_z
Li1 0.0000 0.0000 0.0000
P1 0.5000 0.5000 0.8765
Br1 0.0000 0.0000 0.2669
Br2 0.5000 0.5000 0.6335
# Electronic total energy   -2.905 eV per atom
# M_tot   0.00 μB per formula unit
# Distance to the lowest polymorph of the same formula   127 meV/atom
# Formation energy (no corrections)   -238 meV/atom

Entry 12:
# LiPBr2 | the Alexandria database | PBE-GGA | optimized geometry
data_LiPBr2
_cell_length_a 5.2381
_cell_length_b 5.2381
_cell_length_c 15.9222
_cell_angle_alpha 90.00
_cell_angle_beta 90.00
_cell_angle_gamma 90.00
_symmetry_space_group_name_H-M 'I -4 2 d'
_symmetry_Int_Tables_number 122
_symmetry_space_group_name_Hall 'I -4 2bw'
loop_
_atom_site_label
_atom_site_fract_x
_atom_site_fract_y
_atom_site_fract_z
Li1 0.0000 0.0000 0.0000
P1 0.0000 0.0000 0.5000
Br1 0.2306 0.2500 0.6250
# Electronic total energy   -2.824 eV per atom
# M_tot   0.00 μB per formula unit
# Distance to the lowest polymorph of the same formula   208 meV/atom
# Formation energy (no corrections)   -157 meV/atom

Entry 13:
# LiPBr | the Alexandria database | PBE-GGA | optimized geometry
data_LiPBr
_cell_length_a 4.1630
_cell_length_b 6.5842
_cell_length_c 6.9631
_cell_angle_alpha 68.06
_cell_angle_beta 84.06
_cell_angle_gamma 87.76
_symmetry_space_group_name_H-M 'P 1'
_symmetry_Int_Tables_number 1
loop_
_symmetry_equiv_pos_as_xyz
'x,y,z'
loop_
_atom_site_label
_atom_site_fract_x
_atom_site_fract_y
_atom_site_fract_z
Li1 0.0000 0.0000 0.0000
Li2 0.4540 0.4359 0.1934
P1 0.1550 0.4017 0.6303
P2 0.4918 0.6197 0.5317
Br1 0.5204 0.8265 0.9429
Br2 0.9620 0.2175 0.2256
# Electronic total energy   -3.688 eV per atom
# M_tot   0.00 μB per formula unit
# Distance to the lowest polymorph of the same formula   119 meV/atom
# Formation energy (no corrections)   -689 meV/atom

Entry 14:
# LiPBr | the Alexandria database | PBE-GGA | optimized geometry
data_LiPBr
_cell_length_a 3.4119
_cell_length_b 7.3512
_cell_length_c 7.3823
_cell_angle_alpha 117.50
_cell_angle_beta 90.00
_cell_angle_gamma 90.00
_symmetry_space_group_name_H-M 'P 1'
_symmetry_Int_Tables_number 1
loop_
_symmetry_equiv_pos_as_xyz
'x,y,z'
loop_
_atom_site_label
_atom_site_fract_x
_atom_site_fract_y
_atom_site_fract_z
Li1 0.0000 0.0000 0.0000
Li2 0.0001 0.4376 0.5591
P1 0.4879 0.0262 0.5879
P2 0.9902 0.2121 0.7724
Br1 0.4997 0.2092 0.2813
Br2 0.4996 0.7217 0.7685
# Electronic total energy   -3.745 eV per atom
# M_tot   0.00 μB per formula unit
# Distance to the lowest polymorph of the same formula   62 meV/atom
# Formation energy (no corrections)   -746 meV/atom